No. 1
Material: Cs2SrTaO4
Method: DFT, PBE
State: relaxed

Geometry as POSCAR:
```
Cs2SrTaO4
1.0
-3.501 3.501 4.235
3.501 -3.501 4.235
3.501 3.501 -4.235
Cs Sr Ta O
2 1 1 4
Cartesian
0.000 0.000 0.000
0.000 3.501 2.117
0.000 0.000 4.235
3.501 0.000 2.117
1.342 2.798 -0.998
4.204 1.342 0.998
2.159 0.703 3.236
-0.703 2.159 5.233
```

Computed properties:
symmetry = I-4 (82)
calculated total energy = -6.62 eV per atom
formation energy (no corrections) = -2.24 eV/atom

No. 2
Material: Li2LaCd2
Method: DFT, PBE
State: relaxed

Geometry as POSCAR:
```
Li2LaCd2
1.0
8.435 0.000 0.000
0.000 8.435 0.000
0.000 0.000 3.183
Li La Cd
4 2 4
Cartesian
0.984 3.233 0.000
3.233 7.450 0.000
5.202 0.984 0.000
7.450 5.202 0.000
0.000 0.000 0.000
4.217 4.217 0.000
1.491 5.709 1.591
2.726 1.491 1.591
5.709 6.943 1.591
6.943 2.726 1.591
```

Computed properties:
symmetry = P4/mbm (127)
calculated total energy = -2.33 eV per atom
ΔE to the lowest computed polymorph = 24 meV per atom
energy of formation = -0.213 eV per atom

No. 3
Material: ZnOs3O
Method: DFT, PBE
State: relaxed

Geometry as POSCAR:
```
ZnOs3O
1.0
4.535 0.000 0.000
0.000 4.535 0.000
0.000 0.000 4.535
Zn Os O
1 3 1
Cartesian
0.000 0.000 0.000
0.000 0.000 2.268
0.000 2.268 0.000
2.268 0.000 0.000
2.268 2.268 2.268
```

Computed properties:
symmetry = Pm-3m (221)
calculated total energy = -5.06 eV per atom
ΔE to the lowest computed polymorph = 2018 meV per atom
formation energy (no corrections) = 2.93 eV/atom

Question: Among the records above, which one has the highest calculated total energy?
Answer: Li2LaCd2